## NbFeH (PBE)

Data for a relaxed structure of NbFeH.

Unit cell a=3.159 b=3.159 c=6.579 alpha=90.00 beta=90.00 gamma=90.00
Space group P4/nmm (No. 129, origin choice 2)
Asymmetric unit:
1 Nb 0.250 0.250 0.173
2 Fe 0.250 0.750 0.500
3 H 0.250 0.250 0.868

Computed properties:
Its density is 7575 kg/m³. Its total energy is -7.178 eV per atom. The calculation puts the density of states at the Fermi level at 1.3 states/eV/f.u.

## HgPb2O3 (PBE)

Data for a relaxed structure of HgPb2O3.

Unit cell a=12.196 b=5.536 c=7.844 alpha=90.00 beta=117.79 gamma=90.00
Space group C2/c (No. 15)
Asymmetric unit:
1 Hg 0.000 0.004 0.250
2 Pb 0.162 0.479 0.554
3 O 0.000 0.462 0.750
4 O 0.162 0.057 0.511

Computed properties:
Its density is 9400 kg/m³. The calculation puts the formation energy without anion corrections at -0.754 eV per atom.

## SmZnGe (PBE)

Data for a relaxed structure of SmZnGe.

Unit cell a=4.2211 b=4.2211 c=4.1760 alpha=90.00 beta=90.00 gamma=120.00
Space group P-6m2 (No. 187)
Asymmetric unit:
1 Sm 0.0000 0.0000 0.0000
2 Zn 0.3333 0.6667 0.5000
3 Ge 0.6667 0.3333 0.5000

Computed properties:
Its density is 7432 kg/m³. Its total energy is -4.207 eV per atom. The calculation puts the density of states at the Fermi level at 1.3 states/eV/f.u.

## Zr2Cd2Au (PBE)

Data for a relaxed structure of Zr2Cd2Au.

Unit cell a=7.225 b=7.225 c=4.571 alpha=90.00 beta=90.00 gamma=90.00
Space group P4/mbm (No. 127)
Asymmetric unit:
1 Zr 0.144 0.356 0.000
2 Cd 0.155 0.655 0.500
3 Au 0.000 0.000 0.000

Computed properties:
Its density is 8411 kg/m³. Its total energy is -4.314 eV per atom. The calculation puts the density of states at the Fermi level at 5.0 states/eV/f.u.